A geometry-optimized Ba2LaW3O12 structure. Source: Alexandria, functional PBE+U.

Properties
E	-0.2741	hartree per atom
symmetry	R-3m

Cell: 7.133 7.133 7.133 Å, 64.01 64.01 64.01°
Element x y z (fractional)
Ba 0.622 0.622 0.622
Ba 0.378 0.378 0.378
La 0.000 0.000 0.000
W 0.500 0.000 0.000
W 0.000 0.500 0.000
W 0.000 0.000 0.500
O 0.277 0.277 0.904
O 0.872 0.872 0.418
O 0.418 0.872 0.872
O 0.904 0.277 0.277
O 0.872 0.418 0.872
O 0.277 0.904 0.277
O 0.723 0.723 0.096
O 0.128 0.128 0.582
O 0.582 0.128 0.128
O 0.096 0.723 0.723
O 0.128 0.582 0.128
O 0.723 0.096 0.723